CaFeS2N (PBE, optimized geometry); energy relative to the elements, uncorrected = -0.4993 eV per atom; energy above the lowest structure with this stoichiometry = 0 kJ/mol of formula units; total energy = -5.91 eV per atom
1.0
4.792 0.000 0.000
0.000 4.792 0.000
0.000 0.000 3.503
S Ca Fe N
2 1 1 1
direct
0.000 0.500 0.000
0.500 0.000 0.000
0.500 0.500 0.500
0.000 0.000 0.000
0.000 0.000 0.500